No. 1
Material: VMo3Au
Method: DFT, PBE-GGA
State: relaxed

Summary:
Magnetization: 2.5 μB per formula unit
E_tot: -6.584 eV per atom
Crystal system: cubic

a b c (Å): 4.8303 4.8303 4.8303
angles (deg): 90.00 90.00 90.00
Closest atoms and distances in Å follow each position.
Space group Pm-3m (No. 221)
Inequivalent atoms, fractional coordinates:
V 0.0000 0.0000 0.0000  12 Mo 3.42
Mo 0.0000 0.5000 0.5000  2 Au 2.42
Au 0.5000 0.5000 0.5000  6 Mo 2.42

***

No. 2
Material: BaSmTeO6
Method: DFT, PBE-GGA
State: relaxed

Summary:
Magnetization: 1.1 μB per formula unit
ΔE_f (raw): -2021 meV/atom
Crystal system: trigonal

a b c (Å): 5.8218 5.8218 5.5659
angles (deg): 90.00 90.00 120.00
Closest atoms and distances in Å follow each position.
Space group P312 (No. 149)
Inequivalent atoms, fractional coordinates:
Ba 0.0000 0.0000 0.0000  6 O 2.76
Sm 0.3333 0.6667 0.5000  6 O 2.34
Te 0.6667 0.3333 0.5000  6 O 1.95
O 0.3999 0.0487 0.6995  1 Te 1.95

***

No. 3
Material: TaTiP3
Method: DFT, PBE-GGA
State: relaxed

Summary:
Magnetization: 0.0 μB per formula unit
E_tot: -6.481 eV per atom
Crystal system: cubic

a b c (Å): 4.5624 4.5624 4.5624
angles (deg): 90.00 90.00 90.00
Closest atoms and distances in Å follow each position.
Space group Pm-3m (No. 221)
Inequivalent atoms, fractional coordinates:
Ta 0.0000 0.0000 0.0000  12 P 3.23
Ti 0.5000 0.5000 0.5000  6 P 2.28
P 0.0000 0.5000 0.5000  2 Ti 2.28

***

No. 4
Material: LaPm2Sm4Ho
Method: DFT, PBE-GGA
State: relaxed

Summary:
Magnetization: 0.1 μB per formula unit
E_tot: -4.356 eV per atom
Crystal system: monoclinic

a b c (Å): 13.7660 13.4379 6.9119
angles (deg): 90.00 120.04 90.00
Closest atoms and distances in Å follow each position.
Space group C2/c (No. 15)
Inequivalent atoms, fractional coordinates:
La 0.2500 0.2500 0.0000  6 Sm 3.36-3.46, 2 Pm 3.46
Pm 0.0000 0.0000 0.0000  6 Sm 3.42-3.52, 2 Pm 3.46
Pm 0.2500 0.2500 0.5000  6 Sm 3.36-3.44, 2 La 3.46
Sm 0.0004 0.2545 0.0019  1 Ho 3.30, 3 Pm 3.42-3.44, 2 Sm 3.44-3.48, 2 La 3.44-3.46
Sm 0.2470 0.5000 0.4848  3 Pm 3.36-3.52, 1 La 3.36, 2 Ho 3.37-3.45, 2 Sm 3.46
Ho 0.0000 0.5000 0.0000  6 Sm 3.30-3.45, 2 Ho 3.46

***

No. 5
Material: CeThCo10
Method: DFT, PBE-GGA
State: relaxed

Summary:
Magnetization: 11.7 μB per formula unit
E_tot: -7.163 eV per atom
Crystal system: orthorhombic

a b c (Å): 4.0136 4.8984 8.5340
angles (deg): 90.00 90.00 90.00
Closest atoms and distances in Å follow each position.
Space group Pmmm (No. 47)
Inequivalent atoms, fractional coordinates:
Ce 0.0000 0.0000 0.0000  6 Co 2.67-2.81
Th 0.0000 0.5000 0.5000  18 Co 2.90-3.17
Co 0.0000 0.0000 0.3132  6 Co 2.42-2.56, 1 Ce 2.67
Co 0.0000 0.5000 0.1607  6 Co 2.43-2.47
Co 0.5000 0.0000 0.5000  8 Co 2.46-2.56
Co 0.5000 0.2532 0.2513  8 Co 2.42-2.48
Co 0.5000 0.5000 0.0000  8 Co 2.43-2.46

***

No. 6
Material: TiHg2Cl5
Method: DFT, PBE-GGA
State: relaxed

Summary:
Magnetization: 0.0 μB per formula unit
ΔE_f (raw): -1066 meV/atom
Crystal system: triclinic

a b c (Å): 5.4374 7.5087 7.5737
angles (deg): 99.65 106.40 107.04
Closest atoms and distances in Å follow each position.
Space group P1 (No. 1)
Inequivalent atoms, fractional coordinates:
Ti 0.0000 0.0000 0.0000  5 Cl 2.19-2.32
Hg 0.3146 0.4604 0.4603  2 Hg 2.79-2.85, 2 Cl 3.00-3.01
Hg 0.8874 0.5451 0.5445  2 Hg 2.79-2.85, 2 Cl 3.01
Cl 0.2315 0.0406 0.3209  1 Ti 2.32
Cl 0.2394 0.3253 0.0458  1 Ti 2.32
Cl 0.6001 0.0026 0.0024  1 Ti 2.19
Cl 0.9354 0.6748 0.9549  1 Ti 2.31
Cl 0.9421 0.9602 0.6792  1 Ti 2.32

***

No. 7
Material: Nd2YHo
Method: DFT, PBE-GGA
State: relaxed

Summary:
Magnetization: 0.0 μB per formula unit
E_tot: -5.134 eV per atom
Crystal system: trigonal

a b c (Å): 3.6205 3.6205 35.1220
angles (deg): 90.00 90.00 120.00
Closest atoms and distances in Å follow each position.
Space group R-3m (No. 166, hexagonal axes)
Inequivalent atoms, fractional coordinates:
Nd 0.0000 0.0000 0.2495  3 Ho 3.58, 3 Y 3.61, 6 Nd 3.62
Y 0.0000 0.0000 0.0000  6 Nd 3.61, 6 Y 3.62
Ho 0.0000 0.0000 0.5000  6 Nd 3.58, 6 Ho 3.62

***

No. 8
Material: SrVAs2
Method: DFT, PBE-GGA
State: relaxed

Summary:
Magnetization: 1.2 μB per formula unit
E_tot: -5.055 eV per atom
Crystal system: trigonal

a b c (Å): 3.5015 3.5015 27.9489
angles (deg): 90.00 90.00 120.00
Closest atoms and distances in Å follow each position.
Space group R-3m (No. 166, hexagonal axes)
Inequivalent atoms, fractional coordinates:
Sr 0.0000 0.0000 0.0000  2 As 3.08
V 0.0000 0.0000 0.5000  6 As 2.56
As 0.0000 0.0000 0.1102  3 V 2.56

***

No. 9
Material: CaTlNiSn2
Method: DFT, PBE-GGA
State: relaxed

Summary:
Magnetization: 0.0 μB per formula unit
E_tot: -2.857 eV per atom
Crystal system: tetragonal

a b c (Å): 5.8741 5.8741 4.7741
angles (deg): 90.00 90.00 90.00
Closest atoms and distances in Å follow each position.
Space group P4/mmm (No. 123)
Inequivalent atoms, fractional coordinates:
Ca 0.0000 0.0000 0.0000  2 Ni 2.39
Tl 0.5000 0.5000 0.5000  8 Sn 3.78, 4 Ni 4.15
Ni 0.0000 0.0000 0.5000  2 Ca 2.39
Sn 0.0000 0.5000 0.0000  2 Ca 2.94

***

No. 10
Material: TlNi2I
Method: DFT, PBE-GGA
State: relaxed

Summary:
Magnetization: 0.0 μB per formula unit
ΔE_f (raw): 604 meV/atom
Crystal system: cubic

a b c (Å): 6.6869 6.6869 6.6869
angles (deg): 90.00 90.00 90.00
Closest atoms and distances in Å follow each position.
Space group Fm-3m (No. 225)
Inequivalent atoms, fractional coordinates:
Tl 0.0000 0.0000 0.0000  8 Ni 2.90
Ni 0.2500 0.2500 0.2500  4 Tl 2.90, 4 I 2.90
I 0.0000 0.0000 0.5000  8 Ni 2.90

***

No. 11
Material: LiZrScCo
Method: DFT, PBE-GGA
State: relaxed

Summary:
Magnetization: 0.0 μB per formula unit
E_tot: -6.090 eV per atom
Crystal system: cubic

a b c (Å): 6.4408 6.4408 6.4408
angles (deg): 90.00 90.00 90.00
Closest atoms and distances in Å follow each position.
Space group F-43m (No. 216)
Inequivalent atoms, fractional coordinates:
Li 0.0000 0.0000 0.0000  4 Zr 2.79, 4 Sc 2.79
Zr 0.2500 0.2500 0.2500  4 Li 2.79, 4 Co 2.79
Sc 0.2500 0.2500 0.7500  4 Li 2.79, 4 Co 2.79
Co 0.0000 0.0000 0.5000  4 Sc 2.79, 4 Zr 2.79

***

No. 12
Material: TaFeRe2
Method: DFT, PBE-GGA
State: relaxed

Summary:
Magnetization: 2.6 μB per formula unit
E_tot: -11.327 eV per atom
Crystal system: orthorhombic

a b c (Å): 3.1473 4.3740 8.7464
angles (deg): 90.00 90.00 90.00
Closest atoms and distances in Å follow each position.
Space group Imm2 (No. 44)
Inequivalent atoms, fractional coordinates:
Ta 0.0000 0.0000 0.0000  6 Re 2.69-2.71, 2 Fe 2.70
Fe 0.0000 0.5000 0.7506  6 Re 2.69-2.70, 2 Ta 2.70
Re 0.0000 0.0000 0.5009  2 Re 2.67, 4 Ta 2.69, 2 Fe 2.70
Re 0.0000 0.5000 0.2476  2 Re 2.67, 4 Fe 2.69, 2 Ta 2.71

***

No. 13
Material: VTcOs2
Method: DFT, PBE-GGA
State: relaxed

Summary:
Magnetization: 0.0 μB per formula unit
E_tot: -10.535 eV per atom
Crystal system: tetragonal

a b c (Å): 3.8506 3.8506 3.8361
angles (deg): 90.00 90.00 90.00
Closest atoms and distances in Å follow each position.
Space group P4/mmm (No. 123)
Inequivalent atoms, fractional coordinates:
V 0.0000 0.0000 0.0000  8 Os 2.72, 4 Tc 2.72
Tc 0.5000 0.5000 0.0000  8 Os 2.72, 4 V 2.72
Os 0.0000 0.5000 0.5000  4 Tc 2.72, 4 V 2.72, 4 Os 2.72

***

No. 14
Material: AcNd3Hg6
Method: DFT, PBE-GGA
State: relaxed

Summary:
Magnetization: 0.0 μB per formula unit
E_tot: -2.461 eV per atom
Crystal system: monoclinic

a b c (Å): 9.6165 5.3269 11.6875
angles (deg): 90.00 107.49 90.00
Closest atoms and distances in Å follow each position.
Space group P2_1/m (No. 11)
Inequivalent atoms, fractional coordinates:
Ac 0.0692 0.2500 0.3809  10 Hg 3.26-3.64
Nd 0.2257 0.2500 0.9999  7 Hg 3.12-3.49
Nd 0.3540 0.7500 0.8083  8 Hg 3.15-3.40
Nd 0.4977 0.2500 0.6145  6 Hg 3.08-3.44
Hg 0.0587 0.7500 0.9113  4 Nd 3.12-3.40, 3 Hg 3.25-3.35, 1 Ac 3.26
Hg 0.1472 0.7500 0.2021  7 Hg 3.25-3.61, 1 Nd 3.44, 2 Ac 3.60
Hg 0.1814 0.2500 0.6920  4 Nd 3.22-3.49, 3 Ac 3.47-3.52, 2 Hg 3.51
Hg 0.2597 0.7500 0.5259  4 Nd 3.15-3.46, 2 Ac 3.38, 2 Hg 3.51
Hg 0.3563 0.2500 0.2827  4 Nd 3.08-3.27, 1 Ac 3.29, 2 Hg 3.30
Hg 0.4574 0.7500 0.0951  7 Nd 3.20-3.54, 1 Hg 3.57

***

No. 15
Material: Pr4InHg2Rh
Method: DFT, PBE-GGA
State: relaxed

Summary:
Magnetization: 0.0 μB per formula unit
E_tot: -4.233 eV per atom
Crystal system: trigonal

a b c (Å): 5.4066 5.4066 25.9653
angles (deg): 90.00 90.00 120.00
Closest atoms and distances in Å follow each position.
Space group R-3m (No. 166, hexagonal axes)
Inequivalent atoms, fractional coordinates:
Pr 0.0000 0.0000 0.1127  1 Rh 2.93, 4 Hg 3.16-3.27
Pr 0.0000 0.0000 0.3673  3 Rh 3.24, 4 Hg 3.34-3.50, 1 In 3.44, 3 Pr 3.59
In 0.0000 0.0000 0.5000  8 Pr 3.42-3.44, 6 Hg 3.64
Hg 0.0000 0.0000 0.2387  8 Pr 3.16-3.50
Rh 0.0000 0.0000 0.0000  8 Pr 2.93-3.24

***

No. 16
Material: HoInTe4
Method: DFT, PBE-GGA
State: relaxed

Summary:
Magnetization: 0.0 μB per formula unit
ΔE_f (raw): -564 meV/atom
Crystal system: monoclinic

a b c (Å): 6.2147 10.0314 7.9088
angles (deg): 90.00 112.66 90.00
Closest atoms and distances in Å follow each position.
Space group P2_1/m (No. 11)
Inequivalent atoms, fractional coordinates:
Ho 0.0935 0.2500 0.1796  7 Te 3.04-3.27
In 0.2757 0.7500 0.3596  4 Te 2.77-2.95
Te 0.0765 0.0549 0.8594  1 Te 2.95, 1 In 2.95, 2 Ho 3.17-3.21
Te 0.2593 0.2500 0.5954  1 In 2.77, 1 Ho 3.04
Te 0.3828 0.7500 0.7376  1 In 2.80, 1 Ho 3.06

***

No. 17
Material: Nd2PuHg
Method: DFT, PBE-GGA
State: relaxed

Summary:
Magnetization: 6.3 μB per formula unit
E_tot: -6.020 eV per atom
Crystal system: cubic

a b c (Å): 7.7727 7.7727 7.7727
angles (deg): 90.00 90.00 90.00
Closest atoms and distances in Å follow each position.
Space group Fm-3m (No. 225)
Inequivalent atoms, fractional coordinates:
Nd 0.2500 0.2500 0.2500  4 Hg 3.37, 4 Pu 3.37
Pu 0.0000 0.0000 0.0000  8 Nd 3.37
Hg 0.0000 0.0000 0.5000  8 Nd 3.37

***

No. 18
Material: Tb8Pm6Th
Method: DFT, PBE-GGA
State: relaxed

Summary:
Magnetization: 0.0 μB per formula unit
E_tot: -4.744 eV per atom
Crystal system: trigonal

a b c (Å): 9.1385 9.1385 20.8688
angles (deg): 90.00 90.00 120.00
Closest atoms and distances in Å follow each position.
Space group R-3 (No. 148, hexagonal axes)
Inequivalent atoms, fractional coordinates:
Tb 0.0000 0.0000 0.0772  4 Tb 3.22-3.44, 3 Pm 3.44
Tb 0.0814 0.5590 0.3055  3 Pm 3.40-3.70, 5 Tb 3.44-3.49, 1 Th 3.52
Pm 0.0592 0.2475 0.2097  4 Tb 3.40-3.70, 1 Th 3.49, 2 Pm 3.54
Th 0.0000 0.0000 0.5000  6 Pm 3.49, 6 Tb 3.52

***

No. 19
Material: HfNb2Tc
Method: DFT, PBE-GGA
State: relaxed

Summary:
Magnetization: 0.0 μB per formula unit
E_tot: -10.196 eV per atom
Crystal system: cubic

a b c (Å): 6.5673 6.5673 6.5673
angles (deg): 90.00 90.00 90.00
Closest atoms and distances in Å follow each position.
Space group Fm-3m (No. 225)
Inequivalent atoms, fractional coordinates:
Hf 0.0000 0.0000 0.0000  8 Nb 2.84
Nb 0.2500 0.2500 0.2500  4 Hf 2.84, 4 Tc 2.84
Tc 0.0000 0.0000 0.5000  8 Nb 2.84

***

No. 20
Material: Sc2TaHBr
Method: DFT, PBE-GGA
State: relaxed

Summary:
Magnetization: 0.0 μB per formula unit
E_tot: -5.602 eV per atom
Crystal system: tetragonal

a b c (Å): 5.4531 5.4531 3.4627
angles (deg): 90.00 90.00 90.00
Closest atoms and distances in Å follow each position.
Space group P4/mmm (No. 123)
Inequivalent atoms, fractional coordinates:
Sc 0.0000 0.5000 0.0000  2 Ta 2.73
Ta 0.0000 0.0000 0.0000  2 H 1.73
H 0.0000 0.0000 0.5000  2 Ta 1.73
Br 0.5000 0.5000 0.5000  8 Sc 3.23, 2 Br 3.46

***

No. 21
Material: V2Rh2Au
Method: DFT, PBE-GGA
State: relaxed

Summary:
Magnetization: 0.0 μB per formula unit
E_tot: -7.238 eV per atom
Crystal system: tetragonal

a b c (Å): 4.0616 4.0616 10.0438
angles (deg): 90.00 90.00 90.00
Closest atoms and distances in Å follow each position.
Space group I4/mmm (No. 139)
Inequivalent atoms, fractional coordinates:
V 0.0000 0.5000 0.2500  4 Rh 2.39
Rh 0.0000 0.0000 0.1237  4 V 2.39, 1 Rh 2.49
Au 0.0000 0.0000 0.5000  8 Rh 3.13, 8 V 3.23

***

No. 22
Material: Al3ZnPt
Method: DFT, PBE-GGA
State: relaxed

Summary:
Magnetization: 0.0 μB per formula unit
E_tot: -3.217 eV per atom
Crystal system: cubic

a b c (Å): 4.5509 4.5509 4.5509
angles (deg): 90.00 90.00 90.00
Closest atoms and distances in Å follow each position.
Space group Pm-3m (No. 221)
Inequivalent atoms, fractional coordinates:
Al 0.0000 0.0000 0.5000  2 Zn 2.28
Zn 0.0000 0.0000 0.0000  6 Al 2.28
Pt 0.5000 0.5000 0.5000  12 Al 3.22

***

No. 23
Material: Ac2AgPb
Method: DFT, PBE-GGA
State: relaxed

Summary:
Magnetization: 0.7 μB per formula unit
E_tot: -4.078 eV per atom
Crystal system: cubic

a b c (Å): 8.1397 8.1397 8.1397
angles (deg): 90.00 90.00 90.00
Closest atoms and distances in Å follow each position.
Space group Fm-3m (No. 225)
Inequivalent atoms, fractional coordinates:
Ac 0.2500 0.2500 0.2500  4 Pb 3.52, 4 Ag 3.52
Ag 0.0000 0.0000 0.0000  8 Ac 3.52
Pb 0.0000 0.0000 0.5000  8 Ac 3.52

***

No. 24
Material: HOsRh2
Method: DFT, PBE-GGA
State: relaxed

Summary:
Magnetization: 2.0 μB per formula unit
E_tot: -6.536 eV per atom
Crystal system: cubic

a b c (Å): 5.9175 5.9175 5.9175
angles (deg): 90.00 90.00 90.00
Closest atoms and distances in Å follow each position.
Space group Fm-3m (No. 225)
Inequivalent atoms, fractional coordinates:
H 0.0000 0.0000 0.0000  8 Rh 2.56
Os 0.0000 0.0000 0.5000  8 Rh 2.56
Rh 0.2500 0.2500 0.2500  4 H 2.56, 4 Os 2.56

***

No. 25
Material: TbSmU2As4
Method: DFT, PBE-GGA
State: relaxed

Summary:
Magnetization: 4.9 μB per formula unit
E_tot: -7.451 eV per atom
Crystal system: monoclinic

a b c (Å): 7.0926 4.0940 7.2490
angles (deg): 90.00 109.03 90.00
Closest atoms and distances in Å follow each position.
Space group P2/m (No. 10)
Inequivalent atoms, fractional coordinates:
Tb 0.0000 0.0000 0.0000  6 As 2.93
Sm 0.5000 0.5000 0.0000  6 As 2.95
U 0.0000 0.5000 0.5000  6 As 2.89
U 0.5000 0.0000 0.5000  6 As 2.91
As 0.2455 0.0000 0.7432  3 U 2.89-2.91, 1 Tb 2.93, 2 Sm 2.95
As 0.2494 0.5000 0.2550  3 U 2.89-2.91, 2 Tb 2.93, 1 Sm 2.95

***

No. 26
Material: SrSnAsH
Method: DFT, PBE-GGA
State: relaxed

Summary:
Magnetization: 0.0 μB per formula unit
E_tot: -3.823 eV per atom
Crystal system: hexagonal

a b c (Å): 4.9830 4.9830 9.6583
angles (deg): 90.00 90.00 120.00
Closest atoms and distances in Å follow each position.
Space group P6_3mc (No. 186)
Inequivalent atoms, fractional coordinates:
Sr 0.3333 0.6667 0.0000  3 H 3.02, 4 As 3.09-3.36
Sn 0.0000 0.0000 0.2876  1 H 1.87
As 0.3333 0.6667 0.3199  3 Sn 2.89, 1 Sr 3.09
H 0.0000 0.0000 0.0935  1 Sn 1.87